(1)
TbTm3Ni8: optimized geometry, PBE.

The calculation puts the density of states at the Fermi level at 8.1 states/eV/f.u. The value obtained for the excess energy over the best structure of this formula in the dataset is 0.021 eV/atom. The value obtained for the formation energy is -459 meV per atom.

Structure (CIF):
```
data_TbTm3Ni8
_chemical_formula_sum 'Tb1 Tm3 Ni8'
_cell_length_a 5.0579
_cell_length_b 5.0579
_cell_length_c 8.2039
_cell_angle_alpha 90.00
_cell_angle_beta 90.00
_cell_angle_gamma 120.00
_space_group_name_H-M_alt 'P 3 m 1'
_space_group_IT_number 156
_space_group_name_Hall 'P 3 -2"'
loop_
_atom_site_label
_atom_site_fract_x
_atom_site_fract_y
_atom_site_fract_z
Tb1 0.0000 0.0000 0.0000
Tm1 0.0000 0.0000 0.3752
Tm2 0.6667 0.3333 0.4986
Tm3 0.6667 0.3333 0.8717
Ni1 0.9996 0.4998 0.1876
Ni2 0.1671 0.3343 0.6847
Ni3 0.3333 0.6667 0.4353
Ni4 0.3333 0.6667 0.9355
```



(2)
As4C5: optimized geometry, PBE.

The calculation puts the density of states at the Fermi level at 4.0 states/eV/f.u. The value obtained for the excess energy over the best structure of this formula in the dataset is 0.988 eV/atom. The value obtained for the formation energy is 1997 meV per atom.

Structure (CIF):
```
data_As4C5
_chemical_formula_sum 'As8 C10'
_cell_length_a 6.4090
_cell_length_b 6.4090
_cell_length_c 5.9327
_cell_angle_alpha 90.00
_cell_angle_beta 90.00
_cell_angle_gamma 120.00
_space_group_name_H-M_alt 'P 63/m c m'
_space_group_IT_number 193
_space_group_name_Hall '-P 6c 2'
loop_
_atom_site_label
_atom_site_fract_x
_atom_site_fract_y
_atom_site_fract_z
As1 0.0000 0.0000 0.0000
As2 0.0000 0.4780 0.2500
C1 0.0000 0.2202 0.7500
C2 0.3333 0.6667 0.0000
```



Among the records above, which one has the highest excess energy over the best structure of this formula in the dataset?
As4C5



Look up the excess energy over the best structure of this formula in the dataset of the second one.
0.988 eV/atom



Which value of excess energy over the best structure of this formula in the dataset does entry 2 give?
0.988 eV/atom